## Sc2CdBr (PBE)

Data for a relaxed structure of Sc2CdBr.

a b c (Å): 9.066 9.066 9.066
angles (deg): 22.06 22.06 22.06
Atoms (fractional coordinates):
Sc1 0.247 0.247 0.247
Sc2 0.753 0.753 0.753
Cd1 0.000 0.000 0.000
Br1 0.500 0.500 0.500

E above lowest polymorph ... 18.6 meV per atom
E ... -4.29 eV per atom
Calculated density ... 5.087 g/cm³
Uncorrected formation energy ... -0.48 eV per atom
Spin magnetization ... 0.00 μB per atom

## Sc2CdBr (PBE)

Data for a relaxed structure of Sc2CdBr.

a b c (Å): 5.035 5.035 5.035
angles (deg): 60.00 60.00 60.00
Atoms (fractional coordinates):
Sc1 0.250 0.250 0.250
Sc2 0.750 0.750 0.750
Cd1 0.000 0.000 0.000
Br1 0.500 0.500 0.500

E above lowest polymorph ... 273.4 meV per atom
E ... -4.04 eV per atom
Calculated density ... 5.192 g/cm³
Uncorrected formation energy ... -0.22 eV per atom
Spin magnetization ... 0.00 μB per atom

## ScCdBr (PBE)

Data for a relaxed structure of ScCdBr.

a b c (Å): 4.749 4.749 3.834
angles (deg): 90.00 90.00 120.00
Atoms (fractional coordinates):
Sc1 0.000 0.000 0.000
Cd1 0.333 0.667 0.500
Br1 0.667 0.333 0.000

E above lowest polymorph ... 294.0 meV per atom
E ... -3.34 eV per atom
Calculated density ... 5.261 g/cm³
Uncorrected formation energy ... -0.37 eV per atom
Spin magnetization ... 0.00 μB per atom

## Sc2CdBr (PBE)

Data for a relaxed structure of Sc2CdBr.

a b c (Å): 3.324 3.324 9.145
angles (deg): 90.00 90.00 113.57
Atoms (fractional coordinates):
Sc1 0.000 0.000 0.241
Sc2 0.000 0.000 0.759
Cd1 0.500 0.500 0.500
Br1 0.500 0.500 0.000

E above lowest polymorph ... 133.1 meV per atom
E ... -4.18 eV per atom
Calculated density ... 5.060 g/cm³
Uncorrected formation energy ... -0.36 eV per atom
Spin magnetization ... 0.01 μB per atom

## Sc2CdBr (PBE)

Data for a relaxed structure of Sc2CdBr.

a b c (Å): 5.640 5.640 5.640
angles (deg): 142.25 117.67 75.22
Atoms (fractional coordinates):
Sc1 0.227 0.227 0.000
Sc2 0.773 0.773 0.000
Cd1 0.500 0.000 0.500
Br1 0.000 0.500 0.500

E above lowest polymorph ... 200.0 meV per atom
E ... -4.11 eV per atom
Calculated density ... 4.924 g/cm³
Uncorrected formation energy ... -0.30 eV per atom
Spin magnetization ... 0.00 μB per atom

## Sc2CdBr (PBE)

Data for a relaxed structure of Sc2CdBr.

a b c (Å): 5.238 5.238 5.238
angles (deg): 60.00 60.00 60.00
Atoms (fractional coordinates):
Sc1 0.000 0.000 0.000
Sc2 0.250 0.250 0.250
Cd1 0.500 0.500 0.500
Br1 0.750 0.750 0.750

E above lowest polymorph ... 716.4 meV per atom
E ... -3.59 eV per atom
Calculated density ... 4.611 g/cm³
Uncorrected formation energy ... 0.22 eV per atom
Spin magnetization ... 0.78 μB per atom

## ScCdBr (PBE)

Data for a relaxed structure of ScCdBr.

a b c (Å): 7.454 7.454 7.454
angles (deg): 153.81 153.81 37.38
Atoms (fractional coordinates):
Sc1 0.000 0.000 0.000
Cd1 0.360 0.360 0.000
Br1 0.614 0.614 0.000

E above lowest polymorph ... 83.8 meV per atom
E ... -3.55 eV per atom
Calculated density ... 4.891 g/cm³
Uncorrected formation energy ... -0.58 eV per atom
Spin magnetization ... 0.31 μB per atom

## Sc2CdBr (PBE)

Data for a relaxed structure of Sc2CdBr.

a b c (Å): 10.630 10.630 10.630
angles (deg): 17.97 17.97 17.97
Atoms (fractional coordinates):
Sc1 0.096 0.096 0.096
Sc2 0.904 0.904 0.904
Cd1 0.000 0.000 0.000
Br1 0.500 0.500 0.500

E above lowest polymorph ... 335.9 meV per atom
E ... -3.97 eV per atom
Calculated density ... 4.696 g/cm³
Uncorrected formation energy ... -0.16 eV per atom
Spin magnetization ... 0.00 μB per atom

Number 4 is which compound?
Sc2CdBr

The highest calculated density belongs to which entry?
number 3